## ZrTeS (PBE)

Data for a relaxed structure of ZrTeS.

Output
**Polymorph energy (0 for the lowest one)**: 1 meV per atom
**Formation energy from raw total energies**: -3.61 eV per formula unit
**Calculated volume**: 181.4 Å³/cell
**Calculated total energy**: -38.85 eV for the cell shown
**DOS(E_F)**: 0.17 states/eV per atom

Geometry as POSCAR:
```
ZrTeS
1.0
-0.940 -5.673 4.773
1.826 -2.338 -2.419
5.754 2.860 1.579
Zr Te S
2 2 2
Cartesian
1.826 -1.378 -0.320 Zr
3.789 1.221 1.680 Zr
2.560 -4.806 3.549 Te
4.524 -2.207 5.548 Te
2.040 -0.597 2.116 S
5.830 -0.336 1.696 S
```

---

## NaPmSc4S8 (PBE)

Data for a relaxed structure of NaPmSc4S8.

Output
**Formation energy from raw total energies**: -25.29 eV per formula unit
**Calculated volume**: 335.7 Å³/cell
**Calculated total energy**: -89.70 eV for the cell shown
**DOS(E_F)**: 0.00 states/eV per atom

Geometry as POSCAR:
```
NaPmSc4S8
1.0
7.696 0.000 0.000
3.848 6.665 0.000
3.848 2.222 6.545
Sc Pm S Na
4 1 8 1
Cartesian
3.848 4.347 3.312 Sc
5.688 1.159 3.312 Sc
2.007 1.159 3.312 Sc
7.696 4.443 0.777 Sc
3.848 2.222 6.484 Pm
3.848 2.222 1.923 S
5.732 5.577 1.772 S
5.646 3.260 4.686 S
7.696 2.175 1.772 S
9.745 3.260 4.686 S
9.660 5.577 1.772 S
7.696 6.810 4.686 S
11.544 6.665 4.757 S
7.696 4.443 5.838 Na
```

---

## Mg2InHg2 (PBE)

Data for a relaxed structure of Mg2InHg2.

Output
**Polymorph energy (0 for the lowest one)**: 129 meV per atom
**Calculated volume**: 127.2 Å³/cell
**Calculated total energy**: -6.53 eV for the cell shown
**DOS(E_F)**: 0.40 states/eV per atom

Geometry as POSCAR:
```
Mg2InHg2
1.0
4.209 0.000 0.000
0.000 4.209 0.000
2.104 2.104 7.183
Mg Hg In
2 2 1
Cartesian
2.104 2.104 1.466 Mg
4.209 4.209 5.716 Mg
2.104 4.209 3.591 Hg
4.209 2.104 3.591 Hg
0.000 0.000 0.000 In
```